No. 1
# Te2RuIN | the Alexandria database | SCAN | single point on PBEsol structure
data_Te2RuIN
_cell_length_a 5.017
_cell_length_b 5.017
_cell_length_c 5.721
_cell_angle_alpha 90.00
_cell_angle_beta 90.00
_cell_angle_gamma 90.00
_symmetry_space_group_name_H-M 'P 1'
_symmetry_Int_Tables_number 1
_symmetry_space_group_name_Hall 'P 1'
loop_
_atom_site_label
_atom_site_fract_x
_atom_site_fract_y
_atom_site_fract_z
_atom_site_occupancy
Te1 0.500 0.000 0.000 1
Te2 0.000 0.500 0.000 1
I1 0.000 0.000 0.500 1
Ru1 0.000 0.000 0.000 1
N1 0.500 0.500 0.500 1
# space group	No. 123
# E above lowest polymorph	848.2	meV/atom
# N(E_F)	0.610	states/eV per atom
# formation energy (no corrections)	1259	meV per atom

***

No. 2
# Te2RuIN | the Alexandria database | SCAN | single point on PBEsol structure
data_Te2RuIN
_cell_length_a 3.643
_cell_length_b 5.530
_cell_length_c 5.530
_cell_angle_alpha 90.00
_cell_angle_beta 90.00
_cell_angle_gamma 90.00
_symmetry_space_group_name_H-M 'P 1'
_symmetry_Int_Tables_number 1
_symmetry_space_group_name_Hall 'P 1'
loop_
_atom_site_label
_atom_site_fract_x
_atom_site_fract_y
_atom_site_fract_z
_atom_site_occupancy
Te1 0.000 0.000 0.500 1
Te2 0.000 0.500 0.000 1
N1 0.500 0.000 0.000 1
I1 0.500 0.500 0.500 1
Ru1 0.000 0.000 0.000 1
# space group	No. 123
# E above lowest polymorph	0.0	meV/atom
# N(E_F)	0.694	states/eV per atom
# formation energy (no corrections)	411	meV per atom

***

No. 3
# TiRuIN2 | the Alexandria database | SCAN | single point on PBEsol structure
data_TiRuIN2
_cell_length_a 3.835
_cell_length_b 3.835
_cell_length_c 5.566
_cell_angle_alpha 90.00
_cell_angle_beta 90.00
_cell_angle_gamma 90.00
_symmetry_space_group_name_H-M 'P 1'
_symmetry_Int_Tables_number 1
_symmetry_space_group_name_Hall 'P 1'
loop_
_atom_site_label
_atom_site_fract_x
_atom_site_fract_y
_atom_site_fract_z
_atom_site_occupancy
Ti1 0.500 0.500 0.500 1
Ru1 0.000 0.000 0.000 1
N1 0.500 0.000 0.000 1
N2 0.000 0.500 0.000 1
I1 0.000 0.000 0.500 1
# space group	No. 123
# N(E_F)	0.682	states/eV per atom
# formation energy (no corrections)	873	meV per atom